A relaxed TmZnRuAu crystal, computed with PBE.

a b c (Å): 6.560 6.560 6.560
angles (deg): 90.00 90.00 90.00
Fractional positions:
Tm 0.000 0.000 0.000
Tm 0.000 0.500 0.500
Tm 0.500 0.000 0.500
Tm 0.500 0.500 0.000
Zn 0.000 0.000 0.500
Zn 0.000 0.500 0.000
Zn 0.500 0.000 0.000
Zn 0.500 0.500 0.500
Ru 0.250 0.250 0.750
Ru 0.250 0.750 0.250
Ru 0.750 0.250 0.250
Ru 0.750 0.750 0.750
Au 0.250 0.250 0.250
Au 0.250 0.750 0.750
Au 0.750 0.250 0.750
Au 0.750 0.750 0.250

Summary:
As for the formation energy: -31.1 kJ/mol of atoms. The space group is F-43m, No. 216. The value obtained for the energy is -4.8970 eV per atom.